Density functional theory data (PBE-GGA) for a geometry-optimized Mn2Mo structure.

```
12
Lattice="2.755 0.000 0.000 0.000 4.071 0.000 0.000 0.000 14.044" Properties=species:S:1:pos:R:3 pbc="T T T"
Mn 0.000 1.018 0.446
Mn 0.000 1.018 2.647
Mn 0.000 3.053 11.397
Mn 0.000 3.053 13.599
Mn 1.377 1.018 4.375
Mn 1.377 1.018 6.577
Mn 1.377 3.053 7.468
Mn 1.377 3.053 9.670
Mo 0.000 1.018 9.024
Mo 0.000 3.053 5.021
Mo 1.377 1.018 12.043
Mo 1.377 3.053 2.002
```

## Properties
Crystal system: orthorhombic
Energy of formation from the pure elements in meV/atom: 397.2
Space group: No. 74
Fermi-level density of states in states/eV/atom: 1.53

Density functional theory data (PBE-GGA) for a geometry-optimized MnMo5 structure.

```
6
Lattice="0.000 3.674 3.674 3.674 0.000 3.674 3.674 3.674 0.000" Properties=species:S:1:pos:R:3 pbc="T T T"
Mn 0.000 0.000 0.000
Mo 2.753 2.753 2.753
Mo 4.594 4.594 2.753
Mo 4.594 2.753 4.594
Mo 5.510 5.510 5.510
Mo 2.753 4.594 4.594
```

## Properties
Crystal system: cubic
Energy of formation from the pure elements in meV/atom: 347.1
Space group: No. 216
Fermi-level density of states in states/eV/atom: 0.49
Polymorph energy (0 for the lowest one) in eV per atom: 0.286